# 1
First-principles (PBE) data for a relaxed HoPuAlGe crystal, as listed in the Alexandria database.

Cell lengths 5.046, 5.046, 5.046 Å; angles 60.00, 60.00, 60.00 degrees
Each line ends with the local moment (μB).
Element x y z (fractional)
Ge (0.750, 0.750, 0.750)  -0.03
Al (0.250, 0.250, 0.250)  -0.02
Ho (0.000, 0.000, 0.000)  0.12
Pu (0.500, 0.500, 0.500)  5.27

Calculated values
The value obtained for the total moment is 5.6 μB per formula unit. Its crystal system is cubic. As for the symmetry: F-43m. For the formation energy, the calculation gives -0.34 eV/atom.

# 2
First-principles (PBE) data for a relaxed La2HfTh crystal, as listed in the Alexandria database.

Cell lengths 3.392, 3.392, 12.473 Å; angles 82.18, 82.18, 60.00 degrees
Element x y z (fractional)
Hf (0.000, 0.000, 0.000)
Th (0.500, 0.500, 0.500)
La (0.083, 0.083, 0.750)
La (0.917, 0.917, 0.250)

Calculated values
The value obtained for the total moment is 0.0 μB per formula unit. Its crystal system is trigonal. As for the symmetry: R-3m. For the formation energy, the calculation gives 0.39 eV/atom.

# 3
First-principles (PBE) data for a relaxed LiBi5Pd3 crystal, as listed in the Alexandria database.

Cell lengths 7.777, 7.777, 9.534 Å; angles 70.96, 70.96, 70.47 degrees
Element x y z (fractional)
Li (0.094, 0.094, 0.703)
Li (0.906, 0.906, 0.297)
Bi (0.979, 0.382, 0.395)
Bi (0.301, 0.699, 0.000)
Bi (0.779, 0.779, 0.038)
Bi (0.458, 0.458, 0.330)
Bi (0.542, 0.542, 0.670)
Bi (0.221, 0.221, 0.962)
Bi (0.382, 0.979, 0.395)
Bi (0.699, 0.301, 0.000)
Bi (0.021, 0.618, 0.605)
Bi (0.618, 0.021, 0.605)
Pd (0.684, 0.684, 0.833)
Pd (0.671, 0.671, 0.346)
Pd (0.000, 0.000, 0.000)
Pd (0.000, 0.000, 0.500)
Pd (0.316, 0.316, 0.167)
Pd (0.329, 0.329, 0.654)

Calculated values
The value obtained for the total moment is 0.0 μB per formula unit. Its crystal system is monoclinic. As for the symmetry: C2/m. For the formation energy, the calculation gives -0.13 eV/atom.

# 4
First-principles (PBE) data for a relaxed SiPtCl crystal, as listed in the Alexandria database.

Cell lengths 6.409, 6.409, 6.409 Å; angles 150.86, 150.72, 41.78 degrees
Element x y z (fractional)
Cl (0.972, 0.972, 0.000)
Pt (0.229, 0.229, 0.000)
Si (0.799, 0.799, 0.000)

Calculated values
As for the energy relative to the elements, uncorrected: -168 kJ/mol of formula units. The value obtained for the total moment is 0.0 μB per formula unit. The energy relative to the lowest polymorph listed for this composition is 247 meV per atom. Its crystal system is orthorhombic. As for the symmetry: Imm2.